# TePt7 (GGA-PBE, relaxed)
# - N(E_F) (states/eV per cell) = 51.16
# - VASP energy (eV/atom) = -5.6363
data_TePt7
_chemical_formula_sum 'Te4 Pt28'
_space_group_name_H-M_alt 'F m -3 m'
_space_group_IT_number 225
_space_group_name_Hall '-F 4 2 3'
_cell_length_a 8.0826
_cell_length_b 8.0826
_cell_length_c 8.0826
_cell_angle_alpha 90.00
_cell_angle_beta 90.00
_cell_angle_gamma 90.00
loop_
_atom_site_label
_atom_site_fract_x
_atom_site_fract_y
_atom_site_fract_z
Te1 0.0000 0.0000 0.0000
Pt1 0.0000 0.0000 0.5000
Pt2 0.0000 0.2500 0.2500



# SrCo3Cu (GGA-PBE, relaxed)
# - N(E_F) (states/eV per cell) = 11.73
# - calculated formation energy (eV/atom) = 0.86
# - VASP energy (eV/atom) = -4.5601
data_SrCo3Cu
_chemical_formula_sum 'Sr1 Co3 Cu1'
_space_group_name_H-M_alt 'P m -3 m'
_space_group_IT_number 221
_space_group_name_Hall '-P 4 2 3'
_cell_length_a 4.5397
_cell_length_b 4.5397
_cell_length_c 4.5397
_cell_angle_alpha 90.00
_cell_angle_beta 90.00
_cell_angle_gamma 90.00
loop_
_atom_site_label
_atom_site_fract_x
_atom_site_fract_y
_atom_site_fract_z
Sr1 0.0000 0.0000 0.0000
Co1 0.0000 0.5000 0.5000
Cu1 0.5000 0.5000 0.5000



# PuZr2Cu (GGA-PBE, relaxed)
# - N(E_F) (states/eV per cell) = 6.09
# - calculated formation energy (eV/atom) = 0.07
# - VASP energy (eV/atom) = -8.8091
data_PuZr2Cu
_chemical_formula_sum 'Pu1 Zr2 Cu1'
_space_group_name_H-M_alt 'P 4/m m m'
_space_group_IT_number 123
_space_group_name_Hall '-P 4 2'
_cell_length_a 4.9994
_cell_length_b 4.9994
_cell_length_c 3.2267
_cell_angle_alpha 90.00
_cell_angle_beta 90.00
_cell_angle_gamma 90.00
loop_
_atom_site_label
_atom_site_fract_x
_atom_site_fract_y
_atom_site_fract_z
Pu1 0.0000 0.0000 0.0000
Zr1 0.0000 0.5000 0.5000
Cu1 0.5000 0.5000 0.0000